Here is an optimized crystal structure of Nd3PuPt8 from Alexandria via LeMat-Bulk. Energies are from PBE.

Geometry as CIF:
```
data_Nd3PuPt8
_chemical_formula_sum 'Nd3 Pu1 Pt8'
_space_group_name_H-M_alt 'P 1'
_space_group_IT_number 1
_space_group_name_Hall 'P 1'
_cell_length_a 9.5340
_cell_length_b 9.5340
_cell_length_c 9.5340
_cell_angle_alpha 33.55
_cell_angle_beta 33.55
_cell_angle_gamma 33.55
loop_
_atom_site_label
_atom_site_type_symbol
_atom_site_fract_x
_atom_site_fract_y
_atom_site_fract_z
Nd1 Nd 0.0000 0.0000 0.0000
Nd2 Nd 0.1260 0.1260 0.1260
Nd3 Nd 0.6218 0.6218 0.6218
Pu1 Pu 0.4978 0.4978 0.4978
Pt1 Pt 0.0609 0.0609 0.5624
Pt2 Pt 0.0609 0.5624 0.0609
Pt3 Pt 0.0616 0.5614 0.5614
Pt4 Pt 0.3115 0.3115 0.3115
Pt5 Pt 0.5614 0.0616 0.5614
Pt6 Pt 0.5614 0.5614 0.0616
Pt7 Pt 0.5624 0.0609 0.0609
Pt8 Pt 0.8116 0.8116 0.8116
```

Computed properties:
SG ... R3m
Energy of formation from the pure elements ... -1155.9 kJ/mol of formula units
Total energy ... -7.41 eV per atom
Theoretical density ... 15.8 g/cm3



Here is an optimized crystal structure of NdPuPt from Alexandria via LeMat-Bulk. Energies are from PBE.

Geometry as CIF:
```
data_NdPuPt
_chemical_formula_sum 'Nd1 Pu1 Pt1'
_space_group_name_H-M_alt 'P 1'
_space_group_IT_number 1
_space_group_name_Hall 'P 1'
_cell_length_a 4.7505
_cell_length_b 4.7505
_cell_length_c 3.9278
_cell_angle_alpha 90.00
_cell_angle_beta 90.00
_cell_angle_gamma 120.00
loop_
_atom_site_label
_atom_site_type_symbol
_atom_site_fract_x
_atom_site_fract_y
_atom_site_fract_z
Nd1 Nd 0.0000 0.0000 0.0000
Pu1 Pu 0.3333 0.6667 0.4340
Pt1 Pt 0.6667 0.3333 0.6588
```

Computed properties:
SG ... P3m1
Energy of formation from the pure elements ... -124.5 kJ/mol of formula units
Energy above the most stable polymorph in this dataset ... 23.85 kJ per mole of atoms
Total energy ... -8.81 eV per atom
Theoretical density ... 12.6 g/cm3



Here is an optimized crystal structure of NdPuPt from Alexandria via LeMat-Bulk. Energies are from PBE.

Geometry as CIF:
```
data_NdPuPt
_chemical_formula_sum 'Nd2 Pu2 Pt2'
_space_group_name_H-M_alt 'P 1'
_space_group_IT_number 1
_space_group_name_Hall 'P 1'
_cell_length_a 4.8846
_cell_length_b 4.9717
_cell_length_c 7.0407
_cell_angle_alpha 90.00
_cell_angle_beta 90.00
_cell_angle_gamma 90.00
loop_
_atom_site_label
_atom_site_type_symbol
_atom_site_fract_x
_atom_site_fract_y
_atom_site_fract_z
Nd1 Nd 0.2500 0.2500 0.0028
Nd2 Nd 0.7500 0.7500 0.9972
Pu1 Pu 0.2500 0.2500 0.4999
Pu2 Pu 0.7500 0.7500 0.5001
Pt1 Pt 0.2500 0.7500 0.2472
Pt2 Pt 0.7500 0.2500 0.7528
```

Computed properties:
SG ... Pmmn
Energy of formation from the pure elements ... -158.0 kJ/mol of formula units
Energy above the most stable polymorph in this dataset ... 12.67 kJ per mole of atoms
Total energy ... -8.93 eV per atom
Theoretical density ... 11.3 g/cm3



Here is an optimized crystal structure of Nd2PuPt from Alexandria via LeMat-Bulk. Energies are from PBE.

Geometry as CIF:
```
data_Nd2PuPt
_chemical_formula_sum 'Nd2 Pu1 Pt1'
_space_group_name_H-M_alt 'P 1'
_space_group_IT_number 1
_space_group_name_Hall 'P 1'
_cell_length_a 3.6449
_cell_length_b 3.6449
_cell_length_c 8.4320
_cell_angle_alpha 90.00
_cell_angle_beta 90.00
_cell_angle_gamma 90.00
loop_
_atom_site_label
_atom_site_type_symbol
_atom_site_fract_x
_atom_site_fract_y
_atom_site_fract_z
Nd1 Nd 0.0000 0.0000 0.2032
Nd2 Nd 0.0000 0.0000 0.7968
Pu1 Pu 0.5000 0.5000 0.5000
Pt1 Pt 0.5000 0.5000 0.0000
```

Computed properties:
SG ... P4/mmm
Energy of formation from the pure elements ... -155.0 kJ/mol of formula units
Energy above the most stable polymorph in this dataset ... 0.00 kJ per mole of atoms
Total energy ... -7.88 eV per atom
Theoretical density ... 10.8 g/cm3



Here is an optimized crystal structure of Nd2PuPt3 from Alexandria via LeMat-Bulk. Energies are from PBE.

Geometry as CIF:
```
data_Nd2PuPt3
_chemical_formula_sum 'Nd4 Pu2 Pt6'
_space_group_name_H-M_alt 'P 1'
_space_group_IT_number 1
_space_group_name_Hall 'P 1'
_cell_length_a 7.1700
_cell_length_b 7.1700
_cell_length_c 8.3950
_cell_angle_alpha 106.99
_cell_angle_beta 106.99
_cell_angle_gamma 48.36
loop_
_atom_site_label
_atom_site_type_symbol
_atom_site_fract_x
_atom_site_fract_y
_atom_site_fract_z
Nd1 Nd 0.1682 0.1684 0.0841
Nd2 Nd 0.1684 0.1682 0.5841
Nd3 Nd 0.8316 0.8318 0.4159
Nd4 Nd 0.8318 0.8316 0.9159
Pu1 Pu 0.4994 0.5006 0.7500
Pu2 Pu 0.5006 0.4994 0.2500
Pt1 Pt 0.0007 0.9993 0.2500
Pt2 Pt 0.3415 0.3417 0.4208
Pt3 Pt 0.3417 0.3415 0.9208
Pt4 Pt 0.6583 0.6585 0.0792
Pt5 Pt 0.6585 0.6583 0.5792
Pt6 Pt 0.9993 0.0007 0.7500
```

Computed properties:
SG ... C2/c
Energy of formation from the pure elements ... -537.1 kJ/mol of formula units
Total energy ... -7.93 eV per atom
Theoretical density ... 12.1 g/cm3



Here is an optimized crystal structure of Nd2PuPt from Alexandria via LeMat-Bulk. Energies are from PBE.

Geometry as CIF:
```
data_Nd2PuPt
_chemical_formula_sum 'Nd2 Pu1 Pt1'
_space_group_name_H-M_alt 'P 1'
_space_group_IT_number 1
_space_group_name_Hall 'P 1'
_cell_length_a 10.8584
_cell_length_b 10.8584
_cell_length_c 10.8584
_cell_angle_alpha 19.91
_cell_angle_beta 19.91
_cell_angle_gamma 19.91
loop_
_atom_site_label
_atom_site_type_symbol
_atom_site_fract_x
_atom_site_fract_y
_atom_site_fract_z
Nd1 Nd 0.1072 0.1072 0.1072
Nd2 Nd 0.8928 0.8928 0.8928
Pu1 Pu 0.0000 0.0000 0.0000
Pt1 Pt 0.5000 0.5000 0.5000
```

Computed properties:
SG ... R-3m
Energy of formation from the pure elements ... -43.5 kJ/mol of formula units
Energy above the most stable polymorph in this dataset ... 27.90 kJ per mole of atoms
Total energy ... -7.59 eV per atom
Theoretical density ... 9.3 g/cm3



Here is an optimized crystal structure of NdPuPt from Alexandria via LeMat-Bulk. Energies are from PBE.

Geometry as CIF:
```
data_NdPuPt
_chemical_formula_sum 'Nd1 Pu1 Pt1'
_space_group_name_H-M_alt 'P 1'
_space_group_IT_number 1
_space_group_name_Hall 'P 1'
_cell_length_a 4.9465
_cell_length_b 4.9465
_cell_length_c 4.9465
_cell_angle_alpha 60.00
_cell_angle_beta 60.00
_cell_angle_gamma 60.00
loop_
_atom_site_label
_atom_site_type_symbol
_atom_site_fract_x
_atom_site_fract_y
_atom_site_fract_z
Nd1 Nd 0.0000 0.0000 0.0000
Pu1 Pu 0.5000 0.5000 0.5000
Pt1 Pt 0.2500 0.2500 0.2500
```

Computed properties:
SG ... F-43m
Energy of formation from the pure elements ... -154.8 kJ/mol of formula units
Energy above the most stable polymorph in this dataset ... 13.75 kJ per mole of atoms
Total energy ... -8.91 eV per atom
Theoretical density ... 11.3 g/cm3



Here is an optimized crystal structure of NdPuPt4 from Alexandria via LeMat-Bulk. Energies are from PBE.

Geometry as CIF:
```
data_NdPuPt4
_chemical_formula_sum 'Nd1 Pu1 Pt4'
_space_group_name_H-M_alt 'P 1'
_space_group_IT_number 1
_space_group_name_Hall 'P 1'
_cell_length_a 5.4916
_cell_length_b 5.4916
_cell_length_c 5.4916
_cell_angle_alpha 60.00
_cell_angle_beta 60.00
_cell_angle_gamma 60.00
loop_
_atom_site_label
_atom_site_type_symbol
_atom_site_fract_x
_atom_site_fract_y
_atom_site_fract_z
Nd1 Nd 0.0000 0.0000 0.0000
Pu1 Pu 0.7500 0.7500 0.7500
Pt1 Pt 0.3754 0.3754 0.3754
Pt2 Pt 0.3754 0.3754 0.8738
Pt3 Pt 0.3754 0.8738 0.3754
Pt4 Pt 0.8738 0.3754 0.3754
```

Computed properties:
SG ... F-43m
Energy of formation from the pure elements ... -542.9 kJ/mol of formula units
Total energy ... -8.15 eV per atom
Theoretical density ... 16.6 g/cm3



Here is an optimized crystal structure of NdPuPt2 from Alexandria via LeMat-Bulk. Energies are from PBE.

Geometry as CIF:
```
data_NdPuPt2
_chemical_formula_sum 'Nd1 Pu1 Pt2'
_space_group_name_H-M_alt 'P 1'
_space_group_IT_number 1
_space_group_name_Hall 'P 1'
_cell_length_a 4.4172
_cell_length_b 5.8164
_cell_length_c 5.8164
_cell_angle_alpha 39.23
_cell_angle_beta 90.00
_cell_angle_gamma 90.00
loop_
_atom_site_label
_atom_site_type_symbol
_atom_site_fract_x
_atom_site_fract_y
_atom_site_fract_z
Nd1 Nd 0.0000 0.0000 0.0000
Pu1 Pu 0.5000 0.2758 0.2758
Pt1 Pt 0.0000 0.7306 0.7306
Pt2 Pt 0.5000 0.5519 0.5519
```

Computed properties:
SG ... Amm2
Energy of formation from the pure elements ... -368.3 kJ/mol of formula units
Total energy ... -8.75 eV per atom
Theoretical density ... 13.7 g/cm3



Here is an optimized crystal structure of NdPu5Pt6 from Alexandria via LeMat-Bulk. Energies are from PBE.

Geometry as CIF:
```
data_NdPu5Pt6
_chemical_formula_sum 'Nd1 Pu5 Pt6'
_space_group_name_H-M_alt 'P 1'
_space_group_IT_number 1
_space_group_name_Hall 'P 1'
_cell_length_a 8.6492
_cell_length_b 8.6492
_cell_length_c 8.6492
_cell_angle_alpha 146.49
_cell_angle_beta 131.95
_cell_angle_gamma 59.85
loop_
_atom_site_label
_atom_site_type_symbol
_atom_site_fract_x
_atom_site_fract_y
_atom_site_fract_z
Nd1 Nd 0.0000 0.0000 0.0000
Pu1 Pu 0.1672 0.6672 0.5000
Pu2 Pu 0.3326 0.3326 0.0000
Pu3 Pu 0.5000 0.0000 0.5000
Pu4 Pu 0.6674 0.6674 0.0000
Pu5 Pu 0.8328 0.3328 0.5000
Pt1 Pt 0.0850 0.8322 0.2528
Pt2 Pt 0.2550 0.5000 0.7550
Pt3 Pt 0.4206 0.1678 0.2528
Pt4 Pt 0.5794 0.8322 0.7472
Pt5 Pt 0.7450 0.5000 0.2450
Pt6 Pt 0.9150 0.1678 0.7472
```

Computed properties:
SG ... Immm
Energy of formation from the pure elements ... -900.1 kJ/mol of formula units
Total energy ... -10.17 eV per atom
Theoretical density ... 16.0 g/cm3



Here is an optimized crystal structure of NdPuPt2 from Alexandria via LeMat-Bulk. Energies are from PBE.

Geometry as CIF:
```
data_NdPuPt2
_chemical_formula_sum 'Nd1 Pu1 Pt2'
_space_group_name_H-M_alt 'P 1'
_space_group_IT_number 1
_space_group_name_Hall 'P 1'
_cell_length_a 5.0507
_cell_length_b 5.0507
_cell_length_c 3.5436
_cell_angle_alpha 90.00
_cell_angle_beta 90.00
_cell_angle_gamma 90.00
loop_
_atom_site_label
_atom_site_type_symbol
_atom_site_fract_x
_atom_site_fract_y
_atom_site_fract_z
Nd1 Nd 0.0000 0.0000 0.0000
Pu1 Pu 0.5000 0.5000 0.0000
Pt1 Pt 0.0000 0.5000 0.5000
Pt2 Pt 0.5000 0.0000 0.5000
```

Computed properties:
SG ... P4/mmm
Energy of formation from the pure elements ... -337.4 kJ/mol of formula units
Total energy ... -8.67 eV per atom
Theoretical density ... 14.3 g/cm3



Here is an optimized crystal structure of Nd2PuPt9 from Alexandria via LeMat-Bulk. Energies are from PBE.

Geometry as CIF:
```
data_Nd2PuPt9
_chemical_formula_sum 'Nd2 Pu1 Pt9'
_space_group_name_H-M_alt 'P 1'
_space_group_IT_number 1
_space_group_name_Hall 'P 1'
_cell_length_a 9.4674
_cell_length_b 9.4674
_cell_length_c 9.4674
_cell_angle_alpha 33.50
_cell_angle_beta 33.50
_cell_angle_gamma 33.50
loop_
_atom_site_label
_atom_site_type_symbol
_atom_site_fract_x
_atom_site_fract_y
_atom_site_fract_z
Nd1 Nd 0.1389 0.1389 0.1389
Nd2 Nd 0.8611 0.8611 0.8611
Pu1 Pu 0.0000 0.0000 0.0000
Pt1 Pt 0.0809 0.5858 0.5858
Pt2 Pt 0.3327 0.3327 0.3327
Pt3 Pt 0.4142 0.4142 0.9191
Pt4 Pt 0.4142 0.9191 0.4142
Pt5 Pt 0.5000 0.5000 0.5000
Pt6 Pt 0.5858 0.0809 0.5858
Pt7 Pt 0.5858 0.5858 0.0809
Pt8 Pt 0.6673 0.6673 0.6673
Pt9 Pt 0.9191 0.4142 0.4142
```

Computed properties:
SG ... R-3m
Energy of formation from the pure elements ... -958.0 kJ/mol of formula units
Total energy ... -7.35 eV per atom
Theoretical density ... 16.5 g/cm3